Material: NdHfRh2
Method: DFT, PBE
State: relaxed

Cell: 3.3360 3.3360 7.0866 Å, 90.00 90.00 90.00°
Closest atoms and distances in Å follow each position.
Fractional positions:
1 Nd 0.0000 0.0000 0.0000  8 Rh 3.12, 4 Nd 3.34
2 Hf 0.0000 0.0000 0.5000  8 Rh 2.79
3 Rh 0.5000 0.5000 0.2885  4 Hf 2.79, 1 Rh 3.00, 4 Nd 3.12
4 Rh 0.5000 0.5000 0.7115  4 Hf 2.79, 1 Rh 3.00, 4 Nd 3.12

Results
ΔH_f (0 K)   -0.7767 eV per atom